[1]
# AcTbAl2Pd5 GGA-PBE optimized geometry
data_AcTbAl2Pd5
_chemical_formula_sum 'Ac1 Tb1 Al2 Pd5'
_cell_length_a 4.3732
_cell_length_b 4.3732
_cell_length_c 9.2467
_cell_angle_alpha 90.00
_cell_angle_beta 90.00
_cell_angle_gamma 90.00
_symmetry_space_group_name_H-M 'P 4/m m m'
_symmetry_Int_Tables_number 123
_symmetry_space_group_name_Hall '-P 4 2'
loop_
_atom_site_label
_atom_site_fract_x
_atom_site_fract_y
_atom_site_fract_z
Ac1 0.0000 0.0000 0.0000
Tb1 0.0000 0.0000 0.5000
Al1 0.5000 0.5000 0.3596
Pd1 0.0000 0.5000 0.2363
Pd2 0.5000 0.5000 0.0000
# Total energy (eV/atom): -5.47
# Calculated volume (A^3/atom): 19.65

[2]
# AcTb2AlPd4 GGA-PBE optimized geometry
data_AcTb2AlPd4
_chemical_formula_sum 'Ac3 Tb6 Al3 Pd12'
_cell_length_a 4.7811
_cell_length_b 4.7811
_cell_length_c 26.8614
_cell_angle_alpha 90.00
_cell_angle_beta 90.00
_cell_angle_gamma 120.00
_symmetry_space_group_name_H-M 'R -3 m'
_symmetry_Int_Tables_number 166
_symmetry_space_group_name_Hall '-R 3 2"'
loop_
_atom_site_label
_atom_site_fract_x
_atom_site_fract_y
_atom_site_fract_z
Ac1 0.0000 0.0000 0.0000
Tb1 0.0000 0.0000 0.2372
Al1 0.0000 0.0000 0.5000
Pd1 0.0000 0.0000 0.1333
Pd2 0.0000 0.0000 0.4005
# Total energy (eV/atom): -5.53
# Calculated volume (A^3/atom): 22.16

[3]
# Ac2TbAl4Pd3 GGA-PBE optimized geometry
data_Ac2TbAl4Pd3
_chemical_formula_sum 'Ac2 Tb1 Al4 Pd3'
_cell_length_a 4.4048
_cell_length_b 4.4048
_cell_length_c 11.8472
_cell_angle_alpha 90.00
_cell_angle_beta 90.00
_cell_angle_gamma 90.00
_symmetry_space_group_name_H-M 'P -4 m 2'
_symmetry_Int_Tables_number 115
_symmetry_space_group_name_Hall 'P -4 -2'
loop_
_atom_site_label
_atom_site_fract_x
_atom_site_fract_y
_atom_site_fract_z
Ac1 0.0000 0.5000 0.2280
Tb1 0.0000 0.0000 0.5000
Al1 0.0000 0.0000 0.0000
Al2 0.0000 0.5000 0.6671
Al3 0.5000 0.5000 0.0000
Pd1 0.0000 0.5000 0.8836
Pd2 0.5000 0.5000 0.5000
# Total energy (eV/atom): -4.98
# Calculated volume (A^3/atom): 22.99

[4]
# Ac2Al6TcPd GGA-PBE optimized geometry
data_Ac2Al6TcPd
_chemical_formula_sum 'Ac4 Al12 Tc2 Pd2'
_cell_length_a 11.3277
_cell_length_b 6.5338
_cell_length_c 7.1016
_cell_angle_alpha 90.00
_cell_angle_beta 122.14
_cell_angle_gamma 90.00
_symmetry_space_group_name_H-M 'C 1 2/m 1'
_symmetry_Int_Tables_number 12
_symmetry_space_group_name_Hall '-C 2y'
loop_
_atom_site_label
_atom_site_fract_x
_atom_site_fract_y
_atom_site_fract_z
Ac1 0.2097 0.0000 0.1283
Al1 0.0418 0.2941 0.3305
Al2 0.2474 0.5000 0.3306
Tc1 0.0000 0.5000 0.0000
Pd1 0.0000 0.0000 0.5000
# Total energy (eV/atom): -5.07
# Calculated volume (A^3/atom): 22.25

[5]
# AcThAl2Pd5 GGA-PBE optimized geometry
data_AcThAl2Pd5
_chemical_formula_sum 'Ac1 Th1 Al2 Pd5'
_cell_length_a 4.4541
_cell_length_b 4.4541
_cell_length_c 9.0802
_cell_angle_alpha 90.00
_cell_angle_beta 90.00
_cell_angle_gamma 90.00
_symmetry_space_group_name_H-M 'P 4/m m m'
_symmetry_Int_Tables_number 123
_symmetry_space_group_name_Hall '-P 4 2'
loop_
_atom_site_label
_atom_site_fract_x
_atom_site_fract_y
_atom_site_fract_z
Ac1 0.0000 0.0000 0.0000
Th1 0.0000 0.0000 0.5000
Al1 0.5000 0.5000 0.3548
Pd1 0.0000 0.5000 0.2359
Pd2 0.5000 0.5000 0.0000
# Total energy (eV/atom): -5.78
# Calculated volume (A^3/atom): 20.02

[6]
# Ac2TiAlPd6 GGA-PBE optimized geometry
data_Ac2TiAlPd6
_chemical_formula_sum 'Ac2 Ti1 Al1 Pd6'
_cell_length_a 5.6736
_cell_length_b 6.7802
_cell_length_c 6.8578
_cell_angle_alpha 76.54
_cell_angle_beta 65.68
_cell_angle_gamma 65.43
_symmetry_space_group_name_H-M 'P -1'
_symmetry_Int_Tables_number 2
_symmetry_space_group_name_Hall '-P 1'
loop_
_atom_site_label
_atom_site_fract_x
_atom_site_fract_y
_atom_site_fract_z
Ac1 0.2473 0.2975 0.2094
Ti1 0.0000 0.0000 0.0000
Al1 0.5000 0.5000 0.5000
Pd1 0.2451 0.7574 0.2552
Pd2 0.2496 0.8889 0.6080
Pd3 0.2621 0.2407 0.7455
# Total energy (eV/atom): -5.75
# Calculated volume (A^3/atom): 21.80

[7]
# Ac2TmAl12Pd3 GGA-PBE optimized geometry
data_Ac2TmAl12Pd3
_chemical_formula_sum 'Ac6 Tm3 Al36 Pd9'
_cell_length_a 6.7034
_cell_length_b 6.7034
_cell_length_c 30.5936
_cell_angle_alpha 90.00
_cell_angle_beta 90.00
_cell_angle_gamma 120.00
_symmetry_space_group_name_H-M 'R -3 m'
_symmetry_Int_Tables_number 166
_symmetry_space_group_name_Hall '-R 3 2"'
loop_
_atom_site_label
_atom_site_fract_x
_atom_site_fract_y
_atom_site_fract_z
Ac1 0.0000 0.0000 0.1433
Tm1 0.0000 0.0000 0.5000
Al1 0.0441 0.5220 0.0892
Al2 0.0657 0.5329 0.6258
Pd1 0.0000 0.5000 0.0000
# Total energy (eV/atom): -4.31
# Calculated volume (A^3/atom): 22.05

[8]
# AcTmAlPd GGA-PBE optimized geometry
data_AcTmAlPd
_chemical_formula_sum 'Ac4 Tm4 Al4 Pd4'
_cell_length_a 7.4485
_cell_length_b 7.4485
_cell_length_c 7.4485
_cell_angle_alpha 90.00
_cell_angle_beta 90.00
_cell_angle_gamma 90.00
_symmetry_space_group_name_H-M 'F -4 3 m'
_symmetry_Int_Tables_number 216
_symmetry_space_group_name_Hall 'F -4 2 3'
loop_
_atom_site_label
_atom_site_fract_x
_atom_site_fract_y
_atom_site_fract_z
Ac1 0.0000 0.0000 0.0000
Tm1 0.0000 0.0000 0.5000
Al1 0.2500 0.2500 0.7500
Pd1 0.2500 0.2500 0.2500
# Total energy (eV/atom): -4.81
# Calculated volume (A^3/atom): 25.83

[9]
# Ac2TmAlPd6 GGA-PBE optimized geometry
data_Ac2TmAlPd6
_chemical_formula_sum 'Ac2 Tm1 Al1 Pd6'
_cell_length_a 5.8360
_cell_length_b 6.7043
_cell_length_c 6.7558
_cell_angle_alpha 109.94
_cell_angle_beta 100.11
_cell_angle_gamma 109.76
_symmetry_space_group_name_H-M 'P -1'
_symmetry_Int_Tables_number 2
_symmetry_space_group_name_Hall '-P 1'
loop_
_atom_site_label
_atom_site_fract_x
_atom_site_fract_y
_atom_site_fract_z
Ac1 0.0244 0.1666 0.3063
Tm1 0.5000 0.5000 0.0000
Al1 0.5000 0.0000 0.5000
Pd1 0.0285 0.6210 0.2402
Pd2 0.3597 0.8600 0.0822
Pd3 0.4064 0.6577 0.6396
# Total energy (eV/atom): -5.49
# Calculated volume (A^3/atom): 22.08

[10]
# Ac2TmAl4Pd3 GGA-PBE optimized geometry
data_Ac2TmAl4Pd3
_chemical_formula_sum 'Ac2 Tm1 Al4 Pd3'
_cell_length_a 4.3782
_cell_length_b 4.3782
_cell_length_c 11.8688
_cell_angle_alpha 90.00
_cell_angle_beta 90.00
_cell_angle_gamma 90.00
_symmetry_space_group_name_H-M 'P -4 m 2'
_symmetry_Int_Tables_number 115
_symmetry_space_group_name_Hall 'P -4 -2'
loop_
_atom_site_label
_atom_site_fract_x
_atom_site_fract_y
_atom_site_fract_z
Ac1 0.0000 0.5000 0.2290
Tm1 0.0000 0.0000 0.5000
Al1 0.0000 0.0000 0.0000
Al2 0.0000 0.5000 0.6634
Al3 0.5000 0.5000 0.0000
Pd1 0.0000 0.5000 0.8815
Pd2 0.5000 0.5000 0.5000
# Total energy (eV/atom): -4.98
# Calculated volume (A^3/atom): 22.75